Material: YHoHgIr
Method: DFT, PBE
State: relaxed

The calculated formation energy comes out at -0.63 eV/atom. The value obtained for the electronic total energy is -5.6783 eV per atom.

It has space group F-43m (No. 216), with a = 7.1125 Å, b = 7.1125 Å, c = 7.1125 Å, α = 90.00°, β = 90.00° and γ = 90.00°. The asymmetric unit holds Y at (0.0000, 0.0000, 0.0000), Ho at (0.0000, 0.0000, 0.5000), Hg at (0.2500, 0.2500, 0.2500) and Ir at (0.2500, 0.2500, 0.7500).